Material: PrY2HoTe6
Method: DFT, PBE-GGA
State: relaxed

```
PrY2HoTe6
1.0
7.7787 0.0003 0.0003
3.8896 6.7364 0.0000
3.8892 2.2457 7.0634
Y Te Pr Ho
2 6 1 1
direct
0.5103 0.5103 0.4692 Y
0.0077 0.0077 0.9770 Y
0.1180 0.4001 0.7518 Te
0.9161 0.6017 0.2465 Te
0.4001 0.7301 0.7518 Te
0.2357 0.9161 0.2465 Te
0.7302 0.1180 0.7518 Te
0.6017 0.2358 0.2464 Te
0.8191 0.8192 0.5426 Pr
0.3227 0.3227 0.0318 Ho
```

Results
**Uncorrected formation energy**: -1.37 eV/atom
**Total magnetization**: 0.0000 μB per atom